CeEu2Hg | GGA-PBE | optimized geometry

Computed properties:
energy above the lowest structure with this stoichiometry = 0 meV/atom
size of the total moment = 16.83 Bohr magnetons per cell
V = 134.3 Å³/cell
DFT formation energy = -0.128 eV/atom

```
data_CeEu2Hg
_cell_length_a 3.843
_cell_length_b 3.843
_cell_length_c 9.092
_cell_angle_alpha 90.00
_cell_angle_beta 90.00
_cell_angle_gamma 90.00
_space_group_name_H-M_alt 'P 4/m m m'
_space_group_IT_number 123
_space_group_name_Hall '-P 4 2'
loop_
_atom_site_label
_atom_site_fract_x
_atom_site_fract_y
_atom_site_fract_z
Ce1 0.000 0.000 0.000
Eu1 0.500 0.500 0.288
Hg1 0.000 0.000 0.500
```

Ce2EuHg | GGA-PBE | optimized geometry

Computed properties:
energy above the lowest structure with this stoichiometry = 0 meV/atom
size of the total moment = 10.42 Bohr magnetons per cell
V = 116.6 Å³/cell
DFT formation energy = -0.044 eV/atom

```
data_Ce2EuHg
_cell_length_a 4.738
_cell_length_b 4.738
_cell_length_c 5.194
_cell_angle_alpha 90.00
_cell_angle_beta 90.00
_cell_angle_gamma 90.00
_space_group_name_H-M_alt 'P 4/m m m'
_space_group_IT_number 123
_space_group_name_Hall '-P 4 2'
loop_
_atom_site_label
_atom_site_fract_x
_atom_site_fract_y
_atom_site_fract_z
Ce1 0.000 0.500 0.000
Eu1 0.000 0.000 0.500
Hg1 0.500 0.500 0.500
```

CeEuHg | GGA-PBE | optimized geometry

Computed properties:
energy above the lowest structure with this stoichiometry = 144 meV/atom
size of the total moment = 8.17 Bohr magnetons per cell
V = 79.3 Å³/cell
DFT formation energy = -0.043 eV/atom

```
data_CeEuHg
_cell_length_a 5.3485
_cell_length_b 5.3485
_cell_length_c 3.2007
_cell_angle_alpha 90.00
_cell_angle_beta 90.00
_cell_angle_gamma 120.00
_space_group_name_H-M_alt 'P -6 m 2'
_space_group_IT_number 187
_space_group_name_Hall 'P -6 2'
loop_
_atom_site_label
_atom_site_fract_x
_atom_site_fract_y
_atom_site_fract_z
Ce1 0.0000 0.0000 0.0000
Eu1 0.6667 0.3333 0.0000
Hg1 0.3333 0.6667 0.5000
```

Ce2EuHg | GGA-PBE | optimized geometry

Computed properties:
energy above the lowest structure with this stoichiometry = 30 meV/atom
size of the total moment = 10.30 Bohr magnetons per cell
V = 127.3 Å³/cell
DFT formation energy = -0.013 eV/atom

```
data_Ce2EuHg
_cell_length_a 4.088
_cell_length_b 4.088
_cell_length_c 7.616
_cell_angle_alpha 90.00
_cell_angle_beta 90.00
_cell_angle_gamma 90.00
_space_group_name_H-M_alt 'P 4/m m m'
_space_group_IT_number 123
_space_group_name_Hall '-P 4 2'
loop_
_atom_site_label
_atom_site_fract_x
_atom_site_fract_y
_atom_site_fract_z
Ce1 0.000 0.000 0.193
Eu1 0.500 0.500 0.500
Hg1 0.500 0.500 0.000
```

CeEuHg | GGA-PBE | optimized geometry

Computed properties:
energy above the lowest structure with this stoichiometry = 0 meV/atom
size of the total moment = 18.58 Bohr magnetons per cell
V = 191.0 Å³/cell
DFT formation energy = -0.187 eV/atom

```
data_CeEuHg
_cell_length_a 3.831
_cell_length_b 3.831
_cell_length_c 13.012
_cell_angle_alpha 90.00
_cell_angle_beta 90.00
_cell_angle_gamma 90.00
_space_group_name_H-M_alt 'I 4 m m'
_space_group_IT_number 107
_space_group_name_Hall 'I 4 -2'
loop_
_atom_site_label
_atom_site_fract_x
_atom_site_fract_y
_atom_site_fract_z
Ce1 0.000 0.000 0.000
Eu1 0.000 0.000 0.295
Hg1 0.000 0.000 0.641
```

Ce2EuHg | GGA-PBE | optimized geometry

Computed properties:
energy above the lowest structure with this stoichiometry = 81 meV/atom
size of the total moment = 42.53 Bohr magnetons per cell
V = 460.3 Å³/cell
DFT formation energy = 0.037 eV/atom

```
data_Ce2EuHg
_cell_length_a 7.721
_cell_length_b 7.721
_cell_length_c 7.721
_cell_angle_alpha 90.00
_cell_angle_beta 90.00
_cell_angle_gamma 90.00
_space_group_name_H-M_alt 'F m -3 m'
_space_group_IT_number 225
_space_group_name_Hall '-F 4 2 3'
loop_
_atom_site_label
_atom_site_fract_x
_atom_site_fract_y
_atom_site_fract_z
Ce1 0.250 0.250 0.250
Eu1 0.000 0.000 0.000
Hg1 0.000 0.000 0.500
```